Entry 1:
VASP calculation (PBE) on a geometry-optimized YInAu2 structure.

The structure in POSCAR format:
```
YInAu2
1.0
4.677 0.000 0.000
0.000 4.677 0.000
0.000 0.000 18.611
Y In Au
4 4 8
direct
0.000 0.000 0.000
0.000 0.500 0.250
0.500 0.000 0.750
0.500 0.500 0.500
0.000 0.000 0.500
0.000 0.500 0.750
0.500 0.000 0.250
0.500 0.500 0.000
0.205 0.250 0.625
0.250 0.705 0.875
0.250 0.795 0.375
0.295 0.250 0.125
0.705 0.750 0.125
0.750 0.205 0.375
0.750 0.295 0.875
0.795 0.750 0.625
```

Calculated values
Its calculated formation energy is -0.29 eV per atom.

=====

Entry 2:
VASP calculation (PBE) on a geometry-optimized FeOsC structure.

The structure in POSCAR format:
```
FeOsC
1.0
2.773 0.000 0.000
-1.387 2.402 0.000
0.000 0.000 14.342
Fe Os C
3 3 3
direct
0.000 0.000 0.000
0.333 0.667 0.667
0.667 0.333 0.333
0.000 0.000 0.184
0.333 0.667 0.851
0.667 0.333 0.518
0.000 0.000 0.756
0.333 0.667 0.423
0.667 0.333 0.090
```

Calculated values
Its calculated formation energy is 0.32 eV per atom. The value obtained for the energy above the most stable polymorph in this dataset is 0.000 eV/atom.

=====

Entry 3:
VASP calculation (PBE) on a geometry-optimized Y3TaAs structure.

The structure in POSCAR format:
```
Y3TaAs
1.0
5.338 0.000 0.000
0.000 5.338 0.000
0.000 0.000 5.338
Y Ta As
3 1 1
direct
0.000 0.000 0.500
0.000 0.500 0.000
0.500 0.000 0.000
0.500 0.500 0.500
0.000 0.000 0.000
```

Calculated values
Its calculated formation energy is 0.26 eV per atom. The value obtained for the energy above the most stable polymorph in this dataset is 0.000 eV/atom.

=====

Entry 4:
VASP calculation (PBE) on a geometry-optimized Mg4AgPd2Au structure.

The structure in POSCAR format:
```
Mg4AgPd2Au
1.0
2.300 1.328 7.494
-2.300 1.328 7.494
0.000 -2.655 7.494
Mg Ag Pd Au
4 1 2 1
direct
0.124 0.124 0.124
0.374 0.374 0.374
0.626 0.626 0.626
0.876 0.876 0.876
0.500 0.500 0.500
0.248 0.248 0.248
0.752 0.752 0.752
0.000 0.000 0.000
```

Calculated values
Its calculated formation energy is -0.58 eV per atom.

=====

Entry 5:
VASP calculation (PBE) on a geometry-optimized HfTaCo6 structure.

The structure in POSCAR format:
```
HfTaCo6
1.0
3.691 -5.204 0.000
3.691 5.204 0.000
0.000 0.000 10.422
Hf Ta Co
4 4 24
direct
0.000 0.000 0.249
0.000 0.000 0.751
0.248 0.752 0.500
0.752 0.248 0.500
0.248 0.752 0.000
0.500 0.500 0.250
0.500 0.500 0.750
0.752 0.248 0.000
0.000 0.000 0.000
0.000 0.000 0.500
0.128 0.380 0.123
0.128 0.380 0.877
0.130 0.378 0.372
0.130 0.378 0.628
0.253 0.747 0.246
0.253 0.747 0.754
0.378 0.130 0.372
0.378 0.130 0.628
0.380 0.128 0.123
0.380 0.128 0.877
0.500 0.500 0.000
0.500 0.500 0.500
0.620 0.872 0.123
0.620 0.872 0.877
0.622 0.870 0.372
0.622 0.870 0.628
0.747 0.253 0.246
0.747 0.253 0.754
0.870 0.622 0.372
0.870 0.622 0.628
0.872 0.620 0.123
0.872 0.620 0.877
```

Calculated values
Its calculated formation energy is -0.23 eV per atom.

=====

Entry 6:
VASP calculation (PBE) on a geometry-optimized Nd2Al5Pt structure.

The structure in POSCAR format:
```
Nd2Al5Pt
1.0
6.232 0.000 0.000
0.000 6.232 0.000
0.000 0.000 9.128
Nd Al Pt
4 10 2
direct
0.000 0.500 0.000
0.000 0.500 0.500
0.500 0.000 0.000
0.500 0.000 0.500
0.000 0.000 0.025
0.217 0.217 0.248
0.217 0.783 0.248
0.283 0.283 0.748
0.283 0.717 0.748
0.500 0.500 0.525
0.717 0.283 0.748
0.717 0.717 0.748
0.783 0.217 0.248
0.783 0.783 0.248
0.000 0.000 0.756
0.500 0.500 0.256
```

Calculated values
Its calculated formation energy is -0.52 eV per atom.

=====

Entry 7:
VASP calculation (PBE) on a geometry-optimized PmDy3Pu2S6 structure.

The structure in POSCAR format:
```
PmDy3Pu2S6
1.0
3.407 -5.904 0.000
3.407 5.904 0.000
-2.269 0.000 6.472
Pm Dy Pu S
1 3 2 6
direct
0.000 0.000 0.000
0.165 0.835 0.500
0.500 0.500 0.500
0.835 0.165 0.500
0.333 0.667 0.000
0.667 0.333 0.000
0.086 0.423 0.257
0.252 0.252 0.744
0.423 0.086 0.257
0.577 0.914 0.743
0.748 0.748 0.256
0.914 0.577 0.743
```

Calculated values
Its uncorrected formation energy is -1.950 eV per atom.

=====

Entry 8:
VASP calculation (PBE) on a geometry-optimized NdLu3Fe structure.

The structure in POSCAR format:
```
NdLu3Fe
1.0
5.184 0.000 0.000
0.000 5.184 0.000
0.000 0.000 5.184
Nd Lu Fe
1 3 1
direct
0.000 0.000 0.000
0.000 0.500 0.500
0.500 0.000 0.500
0.500 0.500 0.000
0.500 0.500 0.500
```

Calculated values
Its calculated formation energy is 0.04 eV per atom.

=====

Entry 9:
VASP calculation (PBE) on a geometry-optimized ThAl2Hg structure.

The structure in POSCAR format:
```
ThAl2Hg
1.0
4.460 0.000 0.000
-2.230 3.863 0.000
0.000 0.000 15.982
Th Al Hg
3 6 3
direct
0.000 0.000 0.000
0.333 0.667 0.667
0.667 0.333 0.333
0.000 0.000 0.218
0.000 0.000 0.782
0.333 0.667 0.449
0.333 0.667 0.885
0.667 0.333 0.115
0.667 0.333 0.551
0.000 0.000 0.500
0.333 0.667 0.167
0.667 0.333 0.833
```

Calculated values
Its calculated formation energy is -0.17 eV per atom. The value obtained for the energy above the most stable polymorph in this dataset is 0.069 eV/atom.

=====

Entry 10:
VASP calculation (PBE) on a geometry-optimized B5C structure.

The structure in POSCAR format:
```
B5C
1.0
2.147 0.000 0.000
0.000 2.588 0.000
0.000 0.000 14.882
B C
10 2
direct
0.250 0.000 0.047
0.250 0.000 0.692
0.250 0.500 0.130
0.250 0.500 0.450
0.250 0.500 0.776
0.750 0.000 0.308
0.750 0.000 0.953
0.750 0.500 0.224
0.750 0.500 0.550
0.750 0.500 0.870
0.250 0.000 0.389
0.750 0.000 0.611
```

Calculated values
Its calculated formation energy is 0.42 eV per atom. The value obtained for the energy above the most stable polymorph in this dataset is 0.219 eV/atom.

=====

Entry 11:
VASP calculation (PBE) on a geometry-optimized BaBeOs2 structure.

The structure in POSCAR format:
```
BaBeOs2
1.0
3.046 0.000 0.000
0.000 3.046 0.000
0.000 0.000 7.818
Ba Be Os
1 1 2
direct
0.000 0.000 0.000
0.000 0.000 0.500
0.500 0.500 0.348
0.500 0.500 0.652
```

Calculated values
Its calculated formation energy is 0.75 eV per atom.

=====

Entry 12:
VASP calculation (PBE) on a geometry-optimized AcMnTlBr6 structure.

The structure in POSCAR format:
```
AcMnTlBr6
1.0
7.486 0.000 0.000
-3.743 6.483 0.000
0.000 0.000 14.408
Ac Mn Tl Br
2 2 2 12
direct
0.333 0.667 0.250
0.667 0.333 0.750
0.333 0.667 0.750
0.667 0.333 0.250
0.000 0.000 0.000
0.000 0.000 0.500
0.034 0.382 0.638
0.034 0.652 0.862
0.348 0.382 0.862
0.348 0.966 0.638
0.382 0.034 0.138
0.382 0.348 0.362
0.618 0.652 0.638
0.618 0.966 0.862
0.652 0.034 0.362
0.652 0.618 0.138
0.966 0.348 0.138
0.966 0.618 0.362
```

Calculated values
Its uncorrected formation energy is -1.340 eV per atom.

=====

Table of DOS(E_F) (states/eV/f.u.), in record order: 2.1, 1.8, 8.0, 3.5, 10.8, 3.5, 16.0, 7.1, 1.2, 0.9, 3.7, 0.0
Table of size of the total moment (μB/cell), in record order: 0.0, 6.5, 2.9, 0.0, 17.7, 0.0, 11.5, 0.0, 0.0, 0.0, 0.0, 10.0